# 1
HgOs2Br | PBE-GGA | optimized geometry

Geometry as CIF:
```
data_HgOs2Br
_cell_length_a 2.8635
_cell_length_b 5.1238
_cell_length_c 4.8187
_cell_angle_alpha 90.00
_cell_angle_beta 90.00
_cell_angle_gamma 90.00
_symmetry_space_group_name_H-M 'P 1'
_symmetry_Int_Tables_number 1
loop_
_symmetry_equiv_pos_as_xyz
'x,y,z'
loop_
_atom_site_label
_atom_site_fract_x
_atom_site_fract_y
_atom_site_fract_z
Hg1 0.0000 0.5000 0.5000
Br1 0.5000 0.0000 0.5000
Os1 0.0000 0.0000 0.0000
Os2 0.5000 0.5000 0.0000
```

Symmetry: No. 47

# 2
HgOsBr2 | PBE-GGA | optimized geometry

Geometry as CIF:
```
data_HgOsBr2
_cell_length_a 3.2073
_cell_length_b 4.6100
_cell_length_c 7.5788
_cell_angle_alpha 72.03
_cell_angle_beta 90.00
_cell_angle_gamma 90.00
_symmetry_space_group_name_H-M 'P 1'
_symmetry_Int_Tables_number 1
loop_
_symmetry_equiv_pos_as_xyz
'x,y,z'
loop_
_atom_site_label
_atom_site_fract_x
_atom_site_fract_y
_atom_site_fract_z
Br1 0.5000 0.1565 0.3160
Hg1 0.0000 0.5100 0.6056
Os1 0.5000 0.9850 0.6550
Br2 0.0000 0.8486 0.9235
```

Symmetry: No. 6

# 3
HgOs2Br | PBE-GGA | optimized geometry

Geometry as CIF:
```
data_HgOs2Br
_cell_length_a 4.9197
_cell_length_b 5.6404
_cell_length_c 2.9820
_cell_angle_alpha 74.55
_cell_angle_beta 90.28
_cell_angle_gamma 115.94
_symmetry_space_group_name_H-M 'P 1'
_symmetry_Int_Tables_number 1
loop_
_symmetry_equiv_pos_as_xyz
'x,y,z'
loop_
_atom_site_label
_atom_site_fract_x
_atom_site_fract_y
_atom_site_fract_z
Br1 0.0000 0.5000 0.5000
Os1 0.0000 0.0000 0.0000
Hg1 0.5000 0.5000 0.0000
Os2 0.5000 0.0000 0.5000
```

Symmetry: No. 12

no.,uncorrected energy (eV per atom),formation energy (no corrections) (eV/atom),energy above the lowest structure with this stoichiometry (meV/atom)
1,-4.7625,1.346,453
2,-3.4021,0.317,12
3,-4.6922,1.416,524